Here is an optimized crystal structure of KCdW2O8 from Alexandria. Energies are from PBE+U.

## Properties
Crystal system: tetragonal
Volume: 205.8 Å³/cell
E: -74.5 eV for the cell shown

Unit cell a=6.453 b=6.453 c=6.453 alpha=107.14 beta=107.14 gamma=114.25
Fractional positions:
K1 0.000 0.000 0.000
Cd1 0.750 0.250 0.500
W1 0.250 0.750 0.500
W2 0.500 0.500 0.000
O1 0.088 0.404 0.316
O2 0.088 0.772 0.684
O3 0.156 0.352 0.804
O4 0.228 0.912 0.316
O5 0.549 0.352 0.196
O6 0.596 0.912 0.684
O7 0.648 0.451 0.804
O8 0.648 0.844 0.196